PmAg2Sn | PBE | relaxed

Cell: 4.5317 4.5317 4.5960 Å, 90.00 90.00 90.00°
With the nearest neighbours (Å) after each atom.
Sites, in units of the cell vectors:
Pm 0.0000 0.0000 0.0000  4 Sn 3.20, 8 Ag 3.23
Ag 0.0000 0.5000 0.5000  4 Ag 3.20, 4 Sn 3.23, 4 Pm 3.23
Ag 0.5000 0.0000 0.5000  4 Ag 3.20, 4 Sn 3.23, 4 Pm 3.23
Sn 0.5000 0.5000 0.0000  4 Pm 3.20, 8 Ag 3.23

Values from the calculation:
Relative energy among the computed polymorphs ... 85 meV per atom
Symmetry ... P4/mmm, No. 123
Calculated volume ... 94.4 Å³ per cell
Energy relative to the elements ... -1.17 eV/f.u.
Total magnetization ... 0.00 μB/cell